A plane-wave DFT calculation with GGA-PBE was carried out for a relaxed structure of Y12IrPd6.

- SG = R-3 (148)
- size of the total moment (μB per atom) = 0.000
- ΔE_f (eV/atom) = -0.56
- D(E_F) (states/eV/cell) = 18.3

Unit cell a=8.2511 b=8.2511 c=8.2511 alpha=98.88 beta=98.88 gamma=98.88
Last column: nearest neighbours and their distance in Å.
Sites, in units of the cell vectors:
Y 0.8182 0.5851 0.4258  4 Pd 2.79-3.08
Pd 0.8687 0.3787 0.6849  6 Y 2.79-3.08
Pd 0.3787 0.6849 0.8687  6 Y 2.79-3.08
Y 0.5742 0.1818 0.4149  4 Pd 2.79-3.08
Y 0.5851 0.4258 0.8182  4 Pd 2.79-3.08
Y 0.1818 0.4149 0.5742  4 Pd 2.79-3.08
Pd 0.6849 0.8687 0.3787  6 Y 2.79-3.08
Y 0.0826 0.9591 0.3209  1 Ir 2.72, 2 Pd 2.87-2.91
Y 0.4149 0.5742 0.1818  4 Pd 2.79-3.08
Ir 0.0000 0.0000 0.0000  6 Y 2.72
Pd 0.6213 0.3151 0.1313  6 Y 2.79-3.08
Y 0.9174 0.0409 0.6791  1 Ir 2.72, 2 Pd 2.87-2.91
Y 0.0409 0.6791 0.9174  1 Ir 2.72, 2 Pd 2.87-2.91
Pd 0.3151 0.1313 0.6213  6 Y 2.79-3.08
Pd 0.1313 0.6213 0.3151  6 Y 2.79-3.08
Y 0.9591 0.3209 0.0826  1 Ir 2.72, 2 Pd 2.87-2.91
Y 0.6791 0.9174 0.0409  1 Ir 2.72, 2 Pd 2.87-2.91
Y 0.3209 0.0826 0.9591  1 Ir 2.72, 2 Pd 2.87-2.91
Y 0.4258 0.8182 0.5851  4 Pd 2.79-3.08